DFT (PBE) results for an optimized crystal structure of Y2FeOs.

Results
The value obtained for the energy of formation from the pure elements is 0.029 eV per atom. Its volume is 83.6 Å³/f.u. Its space group is Imm2. The total magnetization is 2.6 μB per cell.

Cell lengths 5.939, 5.939, 5.939 Å; angles 146.92, 132.47, 59.13 degrees
Last column: magnetic moment on the atom in μB.
Sites, in units of the cell vectors:
Y1 0.737 0.237 0.500  -0.05
Y2 0.026 0.026 0.000  -0.11
Fe1 0.454 0.454 0.000  2.51
Os1 0.282 0.782 0.500  0.36

---

DFT (PBE) results for an optimized crystal structure of Tb3Er6Sc.

Results
The value obtained for the energy of formation from the pure elements is 0.256 eV per atom. Its volume is 311.1 Å³/f.u. Its space group is R3. The energy above the most stable polymorph in this dataset comes out at 0.1113 eV/atom. The total magnetization is 0.0 μB per cell.

Cell lengths 9.680, 9.680, 6.777 Å; angles 44.43, 44.43, 60.00 degrees
Sites, in units of the cell vectors:
Er1 0.087 0.439 0.711
Er2 0.256 0.932 0.211
Er3 0.763 0.087 0.711
Er4 0.439 0.763 0.711
Er5 0.601 0.256 0.211
Er6 0.932 0.601 0.211
Tb1 0.607 0.607 0.179
Tb2 0.359 0.359 0.922
Tb3 0.100 0.100 0.700
Sc1 0.856 0.856 0.432

---

DFT (PBE) results for an optimized crystal structure of Ga2HgTe4.

Results
Its uncorrected formation energy is -0.30 eV/atom. Its volume is 234.9 Å³/f.u. Its space group is I-4. The energy above the most stable polymorph in this dataset comes out at 0.0000 eV/atom. The total magnetization is 0.0 μB per cell.

Cell lengths 7.459, 7.459, 7.459 Å; angles 130.44, 130.44, 72.70 degrees
Sites, in units of the cell vectors:
Hg1 0.000 0.000 0.000
Te1 0.416 0.391 0.529
Te2 0.609 0.138 0.025
Te3 0.862 0.887 0.471
Te4 0.113 0.584 0.975
Ga1 0.500 0.500 0.000
Ga2 0.250 0.750 0.500

---

DFT (PBE) results for an optimized crystal structure of Tb2Er3Te2.

Results
Its uncorrected formation energy is -0.51 eV/atom. Its volume is 221.4 Å³/f.u. Its space group is Cmmm. The total magnetization is 0.0 μB per cell.

Cell lengths 4.153, 3.927, 13.732 Å; angles 90.00, 81.31, 90.00 degrees
Sites, in units of the cell vectors:
Te1 0.581 0.000 0.838
Te2 0.419 0.000 0.162
Er1 0.701 0.000 0.599
Er2 0.299 0.000 0.401
Er3 0.000 0.000 0.000
Tb1 0.127 0.500 0.745
Tb2 0.873 0.500 0.255

---

DFT (PBE) results for an optimized crystal structure of Pm8Ge2N.

Results
Its uncorrected formation energy is -0.37 eV/atom. Its volume is 314.4 Å³/f.u. Its space group is C2/m. The total magnetization is 0.0 μB per cell.

Cell lengths 4.131, 7.226, 11.294 Å; angles 108.12, 100.54, 90.00 degrees
Sites, in units of the cell vectors:
Pm1 0.944 0.105 0.888
Pm2 0.056 0.895 0.112
Pm3 0.213 0.328 0.426
Pm4 0.787 0.672 0.574
Pm5 0.317 0.066 0.635
Pm6 0.424 0.661 0.849
Pm7 0.683 0.934 0.365
Pm8 0.576 0.339 0.151
Ge1 0.155 0.635 0.309
Ge2 0.845 0.365 0.691
N1 0.500 0.000 0.000

---

DFT (PBE) results for an optimized crystal structure of Na3Pa3TaN8.

Results
Its uncorrected formation energy is -1.07 eV/atom. Its volume is 237.8 Å³/f.u. Its space group is R-3m. The total magnetization is 0.0 μB per cell.

Cell lengths 6.939, 6.938, 6.971 Å; angles 119.86, 90.00, 120.00 degrees
Sites, in units of the cell vectors:
Pa1 0.500 0.500 0.500
Pa2 0.000 0.500 0.500
Pa3 0.500 0.000 0.500
N1 0.216 0.433 0.678
N2 0.216 0.962 0.678
N3 0.746 0.962 0.678
N4 0.784 0.567 0.322
N5 0.254 0.038 0.322
N6 0.729 0.459 0.688
N7 0.271 0.541 0.312
N8 0.784 0.038 0.322
Na1 0.000 0.500 0.000
Na2 0.000 0.000 0.000
Na3 0.500 0.500 0.000
Ta1 0.000 0.000 0.500